No. 1
A plane-wave DFT calculation with PBE-GGA was carried out for a relaxed TiTcSeN2 crystal. Values from VASP.

Total DFT energy (no corrections) ... -36.378 eV for the cell shown
Energy relative to the lowest polymorph listed for this composition ... 0.0 meV per atom
Formation energy (no corrections) ... 0.40 eV/atom
DOS at the Fermi energy ... 5.67 states/eV per cell

Geometry as Quantum ESPRESSO input:
```
&SYSTEM
  ibrav = 0, nat = 5, ntyp = 4
/
ATOMIC_SPECIES
Ti 47.87 Ti.upf
Tc 98.00 Tc.upf
Se 78.96 Se.upf
N 14.01 N.upf
CELL_PARAMETERS angstrom
-0.0558 -0.8119 3.7371
3.2365 -2.0010 -0.3863
2.7911 4.3250 0.9813
ATOMIC_POSITIONS crystal
Ti 0.5000 0.5000 0.5000
Tc 0.0000 0.0000 0.0000
Se 0.0000 0.0000 0.5000
N 0.0000 0.5000 0.0000
N 0.5000 0.0000 0.0000
```



No. 2
A plane-wave DFT calculation with PBE-GGA was carried out for a relaxed Tb4Dy3YS8 crystal. Values from VASP.

Total DFT energy (no corrections) ... -103.773 eV for the cell shown
Formation energy (no corrections) ... -2.00 eV/atom
DOS at the Fermi energy ... 9.33 states/eV per cell

Geometry as Quantum ESPRESSO input:
```
&SYSTEM
  ibrav = 0, nat = 16, ntyp = 4
/
ATOMIC_SPECIES
Tb 158.93 Tb.upf
S 32.06 S.upf
Y 88.91 Y.upf
Dy 162.50 Dy.upf
CELL_PARAMETERS angstrom
-2.0719 -5.2009 -5.4818
-4.6572 -3.6003 5.1760
-0.8472 7.6701 -1.3572
ATOMIC_POSITIONS crystal
Tb 0.0000 0.0000 0.0000
Tb 0.0000 0.0000 0.5000
S 0.7503 0.2519 0.5007
Y 0.0000 0.5000 0.0000
S 0.7504 0.2519 0.0015
S 0.2496 0.7481 0.9985
Dy 0.0000 0.5000 0.5000
S 0.7488 0.7481 0.9985
Tb 0.5000 0.0000 0.0000
S 0.2508 0.2523 0.5015
S 0.2512 0.2519 0.0015
Dy 0.5000 0.5000 0.0000
S 0.2497 0.7481 0.4993
Tb 0.5000 0.0000 0.5000
Dy 0.5000 0.5000 0.5000
S 0.7492 0.7477 0.4985
```



No. 3
A plane-wave DFT calculation with PBE-GGA was carried out for a relaxed Na2BrCl crystal. Values from VASP.

Total DFT energy (no corrections) ... -12.699 eV for the cell shown
Energy relative to the lowest polymorph listed for this composition ... 42.2 meV per atom
Formation energy (no corrections) ... -1.64 eV/atom
DOS at the Fermi energy ... 0.00 states/eV per cell

Geometry as Quantum ESPRESSO input:
```
&SYSTEM
  ibrav = 0, nat = 4, ntyp = 3
/
ATOMIC_SPECIES
Na 22.99 Na.upf
Cl 35.45 Cl.upf
Br 79.90 Br.upf
CELL_PARAMETERS angstrom
-0.4391 3.7002 1.6056
-1.1385 0.4089 3.8728
6.3519 1.3056 3.8548
ATOMIC_POSITIONS crystal
Na 0.2475 0.2475 0.2574
Cl 0.4976 0.4976 0.5072
Na 0.0863 0.0863 0.7411
Br 0.6686 0.6686 0.9943
```



No. 4
A plane-wave DFT calculation with PBE-GGA was carried out for a relaxed Ta2NbRe crystal. Values from VASP.

Total DFT energy (no corrections) ... -47.228 eV for the cell shown
DOS at the Fermi energy ... 3.88 states/eV per cell
Formation enthalpy at 0 K ... -251.3 meV per atom

Geometry as Quantum ESPRESSO input:
```
&SYSTEM
  ibrav = 0, nat = 4, ntyp = 3
/
ATOMIC_SPECIES
Ta 180.95 Ta.upf
Re 186.21 Re.upf
Nb 92.91 Nb.upf
CELL_PARAMETERS angstrom
-4.4990 -0.6410 0.6713
-1.7743 -4.2318 -0.2145
-1.4799 -2.0668 3.8264
ATOMIC_POSITIONS crystal
Ta 0.5000 0.5000 0.5000
Ta 0.0000 0.0000 0.0000
Re 0.7500 0.7500 0.7500
Nb 0.2500 0.2500 0.2500
```



No. 5
A plane-wave DFT calculation with PBE-GGA was carried out for a relaxed Zr2CdAg crystal. Values from VASP.

Total DFT energy (no corrections) ... -20.729 eV for the cell shown
DOS at the Fermi energy ... 3.27 states/eV per cell
Formation enthalpy at 0 K ... 33.5 meV per atom

Geometry as Quantum ESPRESSO input:
```
&SYSTEM
  ibrav = 0, nat = 4, ntyp = 3
/
ATOMIC_SPECIES
Ag 107.87 Ag.upf
Cd 112.41 Cd.upf
Zr 91.22 Zr.upf
CELL_PARAMETERS angstrom
5.6573 -0.0179 0.0803
4.8212 2.9599 0.0803
0.9239 0.2594 5.0298
ATOMIC_POSITIONS crystal
Ag 0.7500 0.7500 0.7500
Cd 0.2500 0.2500 0.2500
Zr 0.0043 0.0043 0.9980
Zr 0.4957 0.4957 0.5020
```



No. 6
A plane-wave DFT calculation with PBE-GGA was carried out for a relaxed RbTa6Se12 crystal. Values from VASP.

Total DFT energy (no corrections) ... -121.586 eV for the cell shown
Formation energy (no corrections) ... -0.40 eV/atom
DOS at the Fermi energy ... 7.57 states/eV per cell

Geometry as Quantum ESPRESSO input:
```
&SYSTEM
  ibrav = 0, nat = 19, ntyp = 3
/
ATOMIC_SPECIES
Ta 180.95 Ta.upf
Se 78.96 Se.upf
Rb 85.47 Rb.upf
CELL_PARAMETERS angstrom
7.8398 -0.1309 -0.1844
-2.0702 7.5627 -0.1844
-2.0702 -2.6666 7.0793
ATOMIC_POSITIONS crystal
Ta 0.3099 0.7056 0.7056
Ta 0.2944 0.2944 0.6901
Se 0.5959 0.5959 0.8644
Se 0.1210 0.5000 0.8790
Ta 0.6901 0.2944 0.2944
Se 0.8790 0.5000 0.1210
Se 0.1210 0.8790 0.5000
Se 0.4041 0.1356 0.4041
Ta 0.7056 0.3099 0.7056
Ta 0.7056 0.7056 0.3099
Se 0.1356 0.4041 0.4041
Se 0.8790 0.1210 0.5000
Se 0.4041 0.4041 0.1356
Ta 0.2944 0.6901 0.2944
Se 0.5959 0.8644 0.5959
Rb 0.0000 0.0000 0.0000
Se 0.5000 0.1210 0.8790
Se 0.8644 0.5959 0.5959
Se 0.5000 0.8790 0.1210
```



No. 7
A plane-wave DFT calculation with PBE-GGA was carried out for a relaxed Zn2CrW crystal. Values from VASP.

Total DFT energy (no corrections) ... -43.590 eV for the cell shown
Energy relative to the lowest polymorph listed for this composition ... 653.6 meV per atom
DOS at the Fermi energy ... 4.93 states/eV per cell
Formation enthalpy at 0 K ... 832.4 meV per atom

Geometry as Quantum ESPRESSO input:
```
&SYSTEM
  ibrav = 0, nat = 8, ntyp = 3
/
ATOMIC_SPECIES
Zn 65.41 Zn.upf
Cr 52.00 Cr.upf
W 183.84 W.upf
CELL_PARAMETERS angstrom
6.8627 0.0000 0.0000
0.0000 6.8627 0.0000
3.4314 3.4314 2.5388
ATOMIC_POSITIONS crystal
Zn 0.6105 0.1250 0.2500
Cr 0.2500 0.7500 0.5000
W 0.0000 0.0000 0.0000
Cr 0.5000 0.5000 0.0000
W 0.7500 0.2500 0.5000
Zn 0.1395 0.6250 0.2500
Zn 0.8750 0.8605 0.7500
Zn 0.3750 0.3895 0.7500
```



No. 8
A plane-wave DFT calculation with PBE-GGA was carried out for a relaxed DyZrGaAg crystal. Values from VASP.

Total DFT energy (no corrections) ... -20.245 eV for the cell shown
DOS at the Fermi energy ... 2.64 states/eV per cell
Formation enthalpy at 0 K ... -304.1 meV per atom

Geometry as Quantum ESPRESSO input:
```
&SYSTEM
  ibrav = 0, nat = 4, ntyp = 4
/
ATOMIC_SPECIES
Ga 69.72 Ga.upf
Zr 91.22 Zr.upf
Ag 107.87 Ag.upf
Dy 162.50 Dy.upf
CELL_PARAMETERS angstrom
-2.7866 3.1732 2.6074
-3.8126 -1.6820 2.6960
0.2585 0.0358 4.9563
ATOMIC_POSITIONS crystal
Ga 0.7500 0.7500 0.7500
Zr 0.5000 0.5000 0.5000
Ag 0.2500 0.2500 0.2500
Dy 0.0000 0.0000 0.0000
```